[1]
! TaAg2GeMo GGA-PBE relaxed; values from VASP
&SYSTEM
  ibrav = 0, nat = 5, ntyp = 4
/
ATOMIC_SPECIES
Ta 180.95 Ta.upf
Ag 107.87 Ag.upf
Ge 72.64 Ge.upf
Mo 95.94 Mo.upf
ATOMIC_POSITIONS crystal
Ta 0.000 0.000 0.000
Ag 0.000 0.500 0.500
Ag 0.500 0.000 0.500
Ge 0.000 0.000 0.500
Mo 0.500 0.500 0.000
CELL_PARAMETERS angstrom
4.672 0.000 0.000
0.000 4.672 0.000
0.000 0.000 4.941
! - formation energy from the elements (eV per atom) = 1.29

---

[2]
! TcAg2GeMo GGA-PBE relaxed; values from VASP
&SYSTEM
  ibrav = 0, nat = 5, ntyp = 4
/
ATOMIC_SPECIES
Tc 98.00 Tc.upf
Ag 107.87 Ag.upf
Ge 72.64 Ge.upf
Mo 95.94 Mo.upf
ATOMIC_POSITIONS crystal
Tc 0.000 0.000 0.000
Ag 0.000 0.500 0.500
Ag 0.500 0.000 0.500
Ge 0.500 0.500 0.000
Mo 0.000 0.000 0.500
CELL_PARAMETERS angstrom
5.170 0.000 0.000
0.000 5.170 0.000
0.000 0.000 4.495
! - formation energy from the elements (eV per atom) = 1.53

---

[3]
! AgGe2TeMo GGA-PBE relaxed; values from VASP
&SYSTEM
  ibrav = 0, nat = 5, ntyp = 4
/
ATOMIC_SPECIES
Ag 107.87 Ag.upf
Ge 72.64 Ge.upf
Te 127.60 Te.upf
Mo 95.94 Mo.upf
ATOMIC_POSITIONS crystal
Ag 0.000 0.000 0.000
Ge 0.000 0.500 0.500
Ge 0.500 0.000 0.500
Te 0.500 0.500 0.000
Mo 0.000 0.000 0.500
CELL_PARAMETERS angstrom
4.848 0.000 0.000
0.000 4.848 0.000
0.000 0.000 5.415
! - energy relative to the elements, uncorrected (eV per atom) = 0.770

---

[4]
! ZrAgGe2Mo GGA-PBE relaxed; values from VASP
&SYSTEM
  ibrav = 0, nat = 5, ntyp = 4
/
ATOMIC_SPECIES
Zr 91.22 Zr.upf
Ag 107.87 Ag.upf
Ge 72.64 Ge.upf
Mo 95.94 Mo.upf
ATOMIC_POSITIONS crystal
Zr 0.000 0.000 0.000
Ag 0.500 0.500 0.500
Ge 0.000 0.500 0.500
Ge 0.500 0.000 0.500
Mo 0.500 0.500 0.000
CELL_PARAMETERS angstrom
4.729 0.000 0.000
0.000 4.729 0.000
0.000 0.000 5.123
! - formation energy from the elements (eV per atom) = 1.23

---

[5]
! AgGeN2 GGA-PBE relaxed; values from VASP
&SYSTEM
  ibrav = 0, nat = 12, ntyp = 3
/
ATOMIC_SPECIES
Ag 107.87 Ag.upf
Ge 72.64 Ge.upf
N 14.01 N.upf
ATOMIC_POSITIONS crystal
Ag 0.000 0.000 0.000
Ag 0.333 0.667 0.667
Ag 0.667 0.333 0.333
Ge 0.000 0.000 0.500
Ge 0.333 0.667 0.167
Ge 0.667 0.333 0.833
N 0.000 0.000 0.397
N 0.000 0.000 0.603
N 0.333 0.667 0.064
N 0.333 0.667 0.270
N 0.667 0.333 0.730
N 0.667 0.333 0.936
CELL_PARAMETERS angstrom
3.574 0.000 0.000
-1.787 3.095 0.000
0.000 0.000 16.908
! - energy relative to the elements, uncorrected (eV per atom) = 1.224

---

[6]
! AgGe2N GGA-PBE relaxed; values from VASP
&SYSTEM
  ibrav = 0, nat = 16, ntyp = 3
/
ATOMIC_SPECIES
Ag 107.87 Ag.upf
Ge 72.64 Ge.upf
N 14.01 N.upf
ATOMIC_POSITIONS crystal
Ag 0.000 0.000 0.000
Ag 0.000 0.500 0.250
Ag 0.500 0.000 0.750
Ag 0.500 0.500 0.500
Ge 0.174 0.250 0.625
Ge 0.250 0.674 0.875
Ge 0.250 0.826 0.375
Ge 0.326 0.250 0.125
Ge 0.674 0.750 0.125
Ge 0.750 0.174 0.375
Ge 0.750 0.326 0.875
Ge 0.826 0.750 0.625
N 0.000 0.000 0.500
N 0.000 0.500 0.750
N 0.500 0.000 0.250
N 0.500 0.500 0.000
CELL_PARAMETERS angstrom
5.536 0.000 0.000
0.000 5.536 0.000
0.000 0.000 9.414
! - energy relative to the elements, uncorrected (eV per atom) = 0.404

---

[7]
! AgGeN2 GGA-PBE relaxed; values from VASP
&SYSTEM
  ibrav = 0, nat = 16, ntyp = 3
/
ATOMIC_SPECIES
Ag 107.87 Ag.upf
Ge 72.64 Ge.upf
N 14.01 N.upf
ATOMIC_POSITIONS crystal
Ag 0.000 0.000 0.000
Ag 0.000 0.500 0.250
Ag 0.500 0.000 0.750
Ag 0.500 0.500 0.500
Ge 0.000 0.000 0.500
Ge 0.000 0.500 0.750
Ge 0.500 0.000 0.250
Ge 0.500 0.500 0.000
N 0.183 0.250 0.625
N 0.250 0.683 0.875
N 0.250 0.817 0.375
N 0.317 0.250 0.125
N 0.683 0.750 0.125
N 0.750 0.183 0.375
N 0.750 0.317 0.875
N 0.817 0.750 0.625
CELL_PARAMETERS angstrom
5.002 0.000 0.000
0.000 5.002 0.000
0.000 0.000 8.447
! - energy relative to the elements, uncorrected (eV per atom) = 0.549

---

[8]
! AgGeN2 GGA-PBE relaxed; values from VASP
&SYSTEM
  ibrav = 0, nat = 12, ntyp = 3
/
ATOMIC_SPECIES
Ag 107.87 Ag.upf
Ge 72.64 Ge.upf
N 14.01 N.upf
ATOMIC_POSITIONS crystal
Ag 0.000 0.000 0.000
Ag 0.333 0.667 0.667
Ag 0.667 0.333 0.333
Ge 0.000 0.000 0.500
Ge 0.333 0.667 0.167
Ge 0.667 0.333 0.833
N 0.000 0.000 0.111
N 0.000 0.000 0.889
N 0.333 0.667 0.556
N 0.333 0.667 0.778
N 0.667 0.333 0.222
N 0.667 0.333 0.444
CELL_PARAMETERS angstrom
3.013 0.000 0.000
-1.507 2.610 0.000
0.000 0.000 18.628
! - energy relative to the elements, uncorrected (eV per atom) = 0.618

---

no.,total magnetization (μB per cell),N(E_F) (states/eV/f.u.)
1,2.75,2.6
2,0.59,4.8
3,1.71,5.0
4,1.89,4.0
5,0.00,2.3
6,0.00,0.2
7,3.00,2.7
8,0.00,3.6